No. 1
VASP calculation (PBE) on crystalline Dy2YHo3CoTe2 at its relaxed geometry.

It has space group Amm2 (No. 38), with a = 3.2674 Å, b = 16.4512 Å, c = 9.4778 Å, α = 90.00°, β = 90.00° and γ = 90.00°. The inequivalent atoms are Dy at (0.0000, 0.1682, 0.0000), Y at (0.0000, 0.0000, 0.5033), Ho at (0.0000, 0.0000, 0.8560), Ho at (0.0000, 0.1580, 0.3248), Co at (0.0000, 0.0000, 0.1710) and Te at (0.0000, 0.1663, 0.6678).

---

No. 2
VASP calculation (PBE) on crystalline DyY3Ho2CoTe2 at its relaxed geometry.

It has space group Amm2 (No. 38), with a = 3.2682 Å, b = 16.3072 Å, c = 9.4457 Å, α = 90.00°, β = 90.00° and γ = 90.00°. The inequivalent atoms are Dy at (0.0000, 0.0000, 0.0000), Y at (0.0000, 0.0000, 0.6517), Y at (0.0000, 0.1678, 0.1479), Ho at (0.0000, 0.1571, 0.4731), Co at (0.0000, 0.0000, 0.3211) and Te at (0.0000, 0.1669, 0.8158).

---

No. 3
VASP calculation (PBE) on crystalline Dy3YHo2CoTe2 at its relaxed geometry.

It has space group Amm2 (No. 38), with a = 3.9087 Å, b = 14.4329 Å, c = 8.3749 Å, α = 90.00°, β = 90.00° and γ = 90.00°. The inequivalent atoms are Dy at (0.0000, 0.0000, 0.0000), Dy at (0.0000, 0.1183, 0.6473), Y at (0.5000, 0.0000, 0.3649), Ho at (0.5000, 0.1994, 0.9649), Co at (0.5000, 0.0000, 0.7673) and Te at (0.0000, 0.1668, 0.2649).

---

No. 4
VASP calculation (PBE) on crystalline Dy3Y2HoCoTe2 at its relaxed geometry.

It has space group Amm2 (No. 38), with a = 3.9160 Å, b = 14.5223 Å, c = 8.3331 Å, α = 90.00°, β = 90.00° and γ = 90.00°. The inequivalent atoms are Dy at (0.0000, 0.0000, 0.0000), Dy at (0.0000, 0.1173, 0.6457), Y at (0.5000, 0.2002, 0.9633), Ho at (0.5000, 0.0000, 0.3647), Co at (0.5000, 0.0000, 0.7610) and Te at (0.0000, 0.1665, 0.2637).

---

No. 5
VASP calculation (PBE) on crystalline DyHoZnCo2 at its relaxed geometry.

The formation energy is -1.54 eV per formula unit.

It has space group Imm2 (No. 44), with a = 4.0688 Å, b = 5.4490 Å, c = 8.1474 Å, α = 90.00°, β = 90.00° and γ = 90.00°. The inequivalent atoms are Dy at (0.0000, 0.0000, 0.0000), Ho at (0.0000, 0.0000, 0.5860), Zn at (0.0000, 0.5000, 0.7932) and Co at (0.0000, 0.2883, 0.2927).

---

No. 6
VASP calculation (PBE) on crystalline Dy12InCo6 at its relaxed geometry.

It has space group Im-3 (No. 204), with a = 9.6450 Å, b = 9.6450 Å, c = 9.6450 Å, α = 90.00°, β = 90.00° and γ = 90.00°. The inequivalent atoms are Dy at (0.0000, 0.3029, 0.1936), In at (0.0000, 0.0000, 0.0000) and Co at (0.0000, 0.1131, 0.5000).

---

No. 7
VASP calculation (PBE) on crystalline DyIn2Co3 at its relaxed geometry.

It has space group P6/mmm (No. 191), with a = 9.2561 Å, b = 9.2561 Å, c = 4.1500 Å, α = 90.00°, β = 90.00° and γ = 120.00°. The inequivalent atoms are Dy at (0.0000, 0.0000, 0.0000), Dy at (0.3333, 0.6667, 0.5000), In at (0.0000, 0.3188, 0.5000), Co at (0.0000, 0.5000, 0.0000) and Co at (0.1892, 0.3784, 0.0000).

---

No. 8
VASP calculation (PBE) on crystalline DyIn2Co at its relaxed geometry.

It has space group Cmmm (No. 65), with a = 4.4337 Å, b = 19.6311 Å, c = 4.0312 Å, α = 90.00°, β = 90.00° and γ = 90.00°. The inequivalent atoms are Dy at (0.0000, 0.1346, 0.0000), In at (0.0000, 0.0000, 0.5000), In at (0.0000, 0.2938, 0.5000), In at (0.0000, 0.5000, 0.0000) and Co at (0.0000, 0.4216, 0.5000).

---

No. 9
VASP calculation (PBE) on crystalline DyInCo2 at its relaxed geometry.

It has space group Pmma (No. 51), with a = 4.9942 Å, b = 4.0149 Å, c = 7.0696 Å, α = 90.00°, β = 90.00° and γ = 90.00°. The inequivalent atoms are Dy at (0.2500, 0.0000, 0.2202), In at (0.2500, 0.5000, 0.8520), Co at (0.0000, 0.5000, 0.5000) and Co at (0.2500, 0.0000, 0.5946).

---

No. 10
VASP calculation (PBE) on crystalline SmDy2In3Co3 at its relaxed geometry.

It has space group Amm2 (No. 38), with a = 3.8614 Å, b = 12.7638 Å, c = 7.3887 Å, α = 90.00°, β = 90.00° and γ = 90.00°. The inequivalent atoms are Sm at (0.0000, 0.0000, 0.0000), Dy at (0.0000, 0.2044, 0.3842), In at (0.5000, 0.0000, 0.3386), In at (0.5000, 0.1275, 0.7134), Co at (0.0000, 0.0000, 0.5877) and Co at (0.5000, 0.1680, 0.0893).

---

No. 11
VASP calculation (PBE) on crystalline Dy4InCo2Sn4 at its relaxed geometry.

It has space group C2/m (No. 12), with a = 15.9064 Å, b = 4.5556 Å, c = 7.4348 Å, α = 90.00°, β = 108.61° and γ = 90.00°. The inequivalent atoms are Dy at (0.0915, 0.0000, 0.3948), Dy at (0.1549, 0.0000, 0.9580), In at (0.0000, 0.5000, 0.0000), Co at (0.2260, 0.5000, 0.6261), Sn at (0.0738, 0.5000, 0.6732) and Sn at (0.2032, 0.5000, 0.2654).

---

No. 12
VASP calculation (PBE) on crystalline TbDy2In3Co3 at its relaxed geometry.

It has space group Amm2 (No. 38), with a = 3.8433 Å, b = 12.7359 Å, c = 7.3581 Å, α = 90.00°, β = 90.00° and γ = 90.00°. The inequivalent atoms are Tb at (0.0000, 0.0000, 0.0000), Dy at (0.0000, 0.2044, 0.6136), In at (0.5000, 0.0000, 0.6622), In at (0.5000, 0.1270, 0.2829), Co at (0.0000, 0.0000, 0.4096) and Co at (0.5000, 0.1670, 0.9092).

---

No. 13
VASP calculation (PBE) on crystalline TbDyIn4Co2 at its relaxed geometry.

It has space group Amm2 (No. 38), with a = 7.6191 Å, b = 4.2825 Å, c = 10.2325 Å, α = 90.00°, β = 90.00° and γ = 90.00°. The inequivalent atoms are Tb at (0.0000, 0.0000, 0.0000), Dy at (0.5000, 0.0000, 0.8679), In at (0.1996, 0.0000, 0.2878), In at (0.3011, 0.0000, 0.5802), Co at (0.0000, 0.0000, 0.7185) and Co at (0.5000, 0.0000, 0.1493).

---

No. 14
VASP calculation (PBE) on crystalline DyInCoTe3 at its relaxed geometry.

It has space group Cmcm (No. 63), with a = 4.1139 Å, b = 15.4583 Å, c = 11.0862 Å, α = 90.00°, β = 90.00° and γ = 90.00°. The inequivalent atoms are Dy at (0.0000, 0.0000, 0.0000), In at (0.0000, 0.2481, 0.2500), Co at (0.0000, 0.4770, 0.7500), Te at (0.0000, 0.0799, 0.7500) and Te at (0.0000, 0.3646, 0.5778).

---

No. 15
VASP calculation (PBE) on crystalline DyYInCo2 at its relaxed geometry.

It has space group Amm2 (No. 38), with a = 3.9050 Å, b = 3.8206 Å, c = 13.7682 Å, α = 90.00°, β = 90.00° and γ = 90.00°. The inequivalent atoms are Dy at (0.0000, 0.0000, 0.0000), Y at (0.0000, 0.0000, 0.7227), In at (0.5000, 0.0000, 0.3609), Co at (0.5000, 0.0000, 0.1534) and Co at (0.5000, 0.0000, 0.5668).

---

No. 16
VASP calculation (PBE) on crystalline DyCoSi2Ir at its relaxed geometry.

It has space group I-4m2 (No. 119), with a = 3.9698 Å, b = 3.9698 Å, c = 9.9275 Å, α = 90.00°, β = 90.00° and γ = 90.00°. The inequivalent atoms are Dy at (0.0000, 0.0000, 0.0000), Co at (0.0000, 0.5000, 0.7500), Si at (0.0000, 0.0000, 0.3770) and Ir at (0.0000, 0.5000, 0.2500).

---

No. 17
VASP calculation (PBE) on crystalline Tb2DyCoSn3Ir2 at its relaxed geometry.

It has space group Amm2 (No. 38), with a = 3.8051 Å, b = 13.0574 Å, c = 7.5479 Å, α = 90.00°, β = 90.00° and γ = 90.00°. The inequivalent atoms are Tb at (0.0000, 0.2033, 0.0000), Dy at (0.0000, 0.0000, 0.3903), Co at (0.0000, 0.0000, 0.7964), Sn at (0.5000, 0.0000, 0.0495), Sn at (0.5000, 0.1261, 0.6702) and Ir at (0.5000, 0.1662, 0.2969).

---

Number 1: E_tot -4.482 eV/atom. Number 2: E_tot -4.897 eV/atom. Number 3: E_tot -5.421 eV/atom. Number 4: E_tot -5.638 eV/atom. Number 5: E_tot -5.239 eV/atom. Number 6: E_tot -5.544 eV/atom. Number 7: E_tot -5.263 eV/atom. Number 8: E_tot -4.502 eV/atom. Number 9: E_tot -5.641 eV/atom. Number 10: E_tot -5.110 eV/atom. Number 11: E_tot -5.217 eV/atom. Number 12: E_tot -5.111 eV/atom. Number 13: E_tot -4.592 eV/atom. Number 14: E_tot -4.537 eV/atom. Number 15: E_tot -5.947 eV/atom. Number 16: E_tot -7.236 eV/atom. Number 17: E_tot -6.375 eV/atom.